A plane-wave DFT calculation with GGA-PBE was carried out for a relaxed structure of Ac3HoSe6.

Structure (CIF):
```
data_Ac3HoSe6
_space_group_name_H-M_alt 'R -3'
_space_group_IT_number 148
_space_group_name_Hall '-R 3'
_cell_length_a 12.8193
_cell_length_b 12.8193
_cell_length_c 14.9002
_cell_angle_alpha 90.00
_cell_angle_beta 90.00
_cell_angle_gamma 120.00
loop_
_atom_site_label
_atom_site_type_symbol
_atom_site_fract_x
_atom_site_fract_y
_atom_site_fract_z
Ac1 Ac 0.0489 0.2706 0.1993
Ho1 Ho 0.0000 0.0000 0.0000
Ho2 Ho 0.0000 0.0000 0.5000
Se1 Se 0.0246 0.2037 0.4001
Se2 Se 0.0318 0.1905 0.8853
```

## Properties
E above lowest polymorph = 0.000 eV/atom
Uncorrected formation energy = -45.60 kcal/mol of atoms

---

A plane-wave DFT calculation with GGA-PBE was carried out for a relaxed structure of Dy2AlTc3.

Structure (CIF):
```
data_Dy2AlTc3
_space_group_name_H-M_alt 'R -3 m'
_space_group_IT_number 166
_space_group_name_Hall '-R 3 2"'
_cell_length_a 5.3443
_cell_length_b 5.3443
_cell_length_c 13.5199
_cell_angle_alpha 90.00
_cell_angle_beta 90.00
_cell_angle_gamma 120.00
loop_
_atom_site_label
_atom_site_type_symbol
_atom_site_fract_x
_atom_site_fract_y
_atom_site_fract_z
Dy1 Dy 0.0000 0.0000 0.1214
Al1 Al 0.0000 0.0000 0.5000
Tc1 Tc 0.0000 0.5000 0.0000
```

## Properties
Formation energy from the elements = -7.71 kcal/mol of atoms

---

A plane-wave DFT calculation with GGA-PBE was carried out for a relaxed structure of BaPuSbAu.

Structure (CIF):
```
data_BaPuSbAu
_space_group_name_H-M_alt 'F -4 3 m'
_space_group_IT_number 216
_space_group_name_Hall 'F -4 2 3'
_cell_length_a 7.913
_cell_length_b 7.913
_cell_length_c 7.913
_cell_angle_alpha 90.00
_cell_angle_beta 90.00
_cell_angle_gamma 90.00
loop_
_atom_site_label
_atom_site_type_symbol
_atom_site_fract_x
_atom_site_fract_y
_atom_site_fract_z
Ba1 Ba 0.000 0.000 0.000
Pu1 Pu 0.000 0.000 0.500
Sb1 Sb 0.250 0.250 0.250
Au1 Au 0.250 0.250 0.750
```

## Properties
Uncorrected formation energy = -12.95 kcal/mol of atoms

---

A plane-wave DFT calculation with GGA-PBE was carried out for a relaxed structure of RbHfIN2.

Structure (CIF):
```
data_RbHfIN2
_space_group_name_H-M_alt 'P 4/m m m'
_space_group_IT_number 123
_space_group_name_Hall '-P 4 2'
_cell_length_a 4.477
_cell_length_b 4.477
_cell_length_c 5.912
_cell_angle_alpha 90.00
_cell_angle_beta 90.00
_cell_angle_gamma 90.00
loop_
_atom_site_label
_atom_site_type_symbol
_atom_site_fract_x
_atom_site_fract_y
_atom_site_fract_z
Rb1 Rb 0.000 0.000 0.000
Hf1 Hf 0.500 0.500 0.500
I1 I 0.000 0.000 0.500
N1 N 0.000 0.500 0.000
```

## Properties
E above lowest polymorph = 2.501 eV/atom
Uncorrected formation energy = 56.88 kcal/mol of atoms

---

Number 1: uncorrected energy -5.758 eV/atom, magnetic moment 0.00 μB per atom. Number 2: uncorrected energy -7.675 eV/atom, magnetic moment 0.00 μB per atom. Number 3: uncorrected energy -6.475 eV/atom, magnetic moment 1.50 μB per atom. Number 4: uncorrected energy -3.358 eV/atom, magnetic moment 0.15 μB per atom.